Entry 1:
# Sc4GeAuC

A relaxed structure of Sc4GeAuC (GGA-PBE, Alexandria).

Cell: 6.3070 13.7555 6.2841 Å, 90.00 90.00 90.00°
Space group Cmcm (No. 63)
One atom of each set of equivalent atoms:
Sc  0.0000  0.0824  0.2500
Sc  0.0000  0.4171  0.2500
Sc  0.2500  0.2500  0.0000
Ge  0.0000  0.3804  0.7500
Au  0.0000  0.1135  0.7500
C  0.0000  0.2509  0.2500

Magnetic moment (μB/f.u.): 0.0
ΔE_f (meV/atom): -672.8
V (Å³/f.u.): 136.30

***

Entry 2:
# NiIrN2

A relaxed structure of NiIrN2 (GGA-PBE, Alexandria).

Cell: 4.4906 4.4906 9.0283 Å, 90.00 90.00 90.00°
Space group I-42d (No. 122)
One atom of each set of equivalent atoms:
Ni  0.0000  0.0000  0.0000
Ir  0.0000  0.0000  0.5000
N  0.2412  0.2500  0.1250

ΔE_f (raw) (eV per atom): 0.51
Magnetic moment (μB/f.u.): 0.0
Excess energy over the best structure of this formula in the dataset (eV per atom): 0.0240
V (Å³/f.u.): 45.51

***

Entry 3:
# Tl2CuHg2

A relaxed structure of Tl2CuHg2 (GGA-PBE, Alexandria).

Cell: 7.2066 7.2066 5.3773 Å, 90.00 90.00 90.00°
Space group P4/mbm (No. 127)
One atom of each set of equivalent atoms:
Tl  0.1711  0.3289  0.0000
Cu  0.0000  0.0000  0.0000
Hg  0.1603  0.6603  0.5000

Magnetic moment (μB/f.u.): 0.0
ΔE_f (meV/atom): 213.8
Excess energy over the best structure of this formula in the dataset (eV per atom): 0.0502
V (Å³/f.u.): 139.64

***

Entry 4:
# KCrHg2

A relaxed structure of KCrHg2 (GGA-PBE, Alexandria).

Cell: 7.7205 7.8455 3.3634 Å, 90.00 90.17 90.00°
Space group C2/m (No. 12)
One atom of each set of equivalent atoms:
K  0.0000  0.0000  0.0000
Cr  0.0000  0.5000  0.0000
Hg  0.2500  0.2500  0.5000

Magnetic moment (μB/f.u.): 4.2
ΔE_f (meV/atom): 374.9
Excess energy over the best structure of this formula in the dataset (eV per atom): 0.1445
V (Å³/f.u.): 101.86

***

Entry 5:
# Mo2WSe

A relaxed structure of Mo2WSe (GGA-PBE, Alexandria).

Cell: 5.1541 8.3260 3.0121 Å, 90.00 90.00 90.00°
Space group Cmmm (No. 65)
One atom of each set of equivalent atoms:
Mo  0.2500  0.2500  0.0000
W  0.0000  0.0000  0.5000
Se  0.0000  0.5000  0.5000

ΔE_f (raw) (eV per atom): 0.46
Magnetic moment (μB/f.u.): 0.0
V (Å³/f.u.): 64.63

***

Entry 6:
# Pa2TePdS4

A relaxed structure of Pa2TePdS4 (GGA-PBE, Alexandria).

Cell: 11.5656 3.9498 9.3085 Å, 90.00 116.30 90.00°
Space group C2/m (No. 12)
One atom of each set of equivalent atoms:
Pa  0.1940  0.0000  0.2733
Te  0.0000  0.5000  0.0000
Pd  0.0000  0.0000  0.5000
S  0.1227  0.5000  0.4198
S  0.1732  0.0000  0.7763

ΔE_f (raw) (eV per atom): -1.13
Magnetic moment (μB/f.u.): 0.1
V (Å³/f.u.): 190.61

***

Entry 7:
# PaNi4H6

A relaxed structure of PaNi4H6 (GGA-PBE, Alexandria).

Cell: 4.8969 4.8969 7.9223 Å, 90.00 90.00 90.00°
Space group I-42m (No. 121)
One atom of each set of equivalent atoms:
Pa  0.0000  0.0000  0.0000
Ni  0.1690  0.1690  0.3715
H  0.0000  0.5000  0.0000
H  0.1673  0.1673  0.7226

Magnetic moment (μB/f.u.): 0.0
Uncorrected energy (eV per cell): -104.984
V (Å³/f.u.): 94.99

***

Entry 8:
# PrInTeO6

A relaxed structure of PrInTeO6 (GGA-PBE, Alexandria).

Cell: 5.4582 5.4582 10.1732 Å, 90.00 90.00 120.00°
Space group P-31c (No. 163)
One atom of each set of equivalent atoms:
Pr  0.0000  0.0000  0.0000
In  0.3333  0.6667  0.2500
Te  0.3333  0.6667  0.7500
O  0.0321  0.3780  0.6404

ΔE_f (raw) (eV per atom): -1.90
Magnetic moment (μB/f.u.): 0.0
V (Å³/f.u.): 131.24

***

Entry 9:
# Cd2FeICl

A relaxed structure of Cd2FeICl (GGA-PBE, Alexandria).

Cell: 5.8939 5.8939 4.0712 Å, 90.00 90.00 90.00°
Space group P4/mmm (No. 123)
One atom of each set of equivalent atoms:
Cd  0.0000  0.5000  0.0000
Fe  0.0000  0.0000  0.5000
I  0.5000  0.5000  0.5000
Cl  0.0000  0.0000  0.0000

ΔE_f (raw) (eV per atom): 0.59
Magnetic moment (μB/f.u.): 0.2
V (Å³/f.u.): 141.42

***

Entry 10:
# Ca2Zn3Ni12Ir

A relaxed structure of Ca2Zn3Ni12Ir (GGA-PBE, Alexandria).

Cell: 5.9001 5.9001 27.0307 Å, 90.00 90.00 120.00°
Space group R-3m (No. 166, hexagonal axes)
One atom of each set of equivalent atoms:
Ca  0.0000  0.0000  0.1510
Zn  0.0000  0.5000  0.0000
Ni  0.0519  0.5260  0.0944
Ni  0.0710  0.5355  0.6159
Ir  0.0000  0.0000  0.5000

Magnetic moment (μB/f.u.): 0.0
ΔE_f (meV/atom): 178.7
V (Å³/f.u.): 271.63